The following is a PBE calculation of a relaxed BaTl2ZnAg crystal, from Alexandria.

Output
Formation energy from the elements, meV per atom: -57
Mass density, g/cm3: 7.9

```
data_BaTl2ZnAg
_chemical_formula_sum 'Ba1 Tl2 Zn1 Ag1'
_cell_length_a 5.429
_cell_length_b 5.429
_cell_length_c 5.162
_cell_angle_alpha 90.00
_cell_angle_beta 90.00
_cell_angle_gamma 90.00
_space_group_name_H-M_alt 'P 4/m m m'
_space_group_IT_number 123
_space_group_name_Hall '-P 4 2'
loop_
_atom_site_label
_atom_site_type_symbol
_atom_site_fract_x
_atom_site_fract_y
_atom_site_fract_z
Ba1 Ba 0.000 0.000 0.000
Tl1 Tl 0.000 0.500 0.500
Zn1 Zn 0.500 0.500 0.500
Ag1 Ag 0.500 0.500 0.000
```